(1)
# ScTlV2Cl PBE-GGA relaxed
data_ScTlV2Cl
_chemical_formula_sum 'Sc1 Tl1 V2 Cl1'
_space_group_name_H-M_alt 'P 1'
_space_group_IT_number 1
_space_group_name_Hall 'P 1'
_cell_length_a 5.1899
_cell_length_b 5.1899
_cell_length_c 5.5176
_cell_angle_alpha 90.00
_cell_angle_beta 90.00
_cell_angle_gamma 90.00
loop_
_atom_site_label
_atom_site_type_symbol
_atom_site_fract_x
_atom_site_fract_y
_atom_site_fract_z
Sc1 Sc 0.0000 0.0000 0.0000
Tl1 Tl 0.0000 0.0000 0.5000
V1 V 0.0000 0.5000 0.5000
V2 V 0.5000 0.0000 0.5000
Cl1 Cl 0.5000 0.5000 0.0000
# **Raw total energy**: -23.40 eV/cell
# **Fermi-level density of states**: 9.01 states/eV/f.u.


(2)
# ScTlZn2Cl8 PBE-GGA relaxed
data_ScTlZn2Cl8
_chemical_formula_sum 'Sc1 Tl1 Zn2 Cl8'
_space_group_name_H-M_alt 'P 1'
_space_group_IT_number 1
_space_group_name_Hall 'P 1'
_cell_length_a 10.4290
_cell_length_b 10.4290
_cell_length_c 10.4290
_cell_angle_alpha 35.26
_cell_angle_beta 35.26
_cell_angle_gamma 35.26
loop_
_atom_site_label
_atom_site_type_symbol
_atom_site_fract_x
_atom_site_fract_y
_atom_site_fract_z
Sc1 Sc 0.0000 0.0000 0.0000
Tl1 Tl 0.5000 0.5000 0.5000
Zn1 Zn 0.2564 0.2564 0.2564
Zn2 Zn 0.7436 0.7436 0.7436
Cl1 Cl 0.0597 0.7242 0.3671
Cl2 Cl 0.1808 0.1808 0.1808
Cl3 Cl 0.2758 0.6329 0.9403
Cl4 Cl 0.3671 0.0597 0.7242
Cl5 Cl 0.6329 0.9403 0.2758
Cl6 Cl 0.7242 0.3671 0.0597
Cl7 Cl 0.8192 0.8192 0.8192
Cl8 Cl 0.9403 0.2758 0.6329
# **Raw total energy**: -42.93 eV/cell
# **Fermi-level density of states**: 0.00 states/eV/f.u.


(3)
# Tm2ScCl PBE-GGA relaxed
data_Tm2ScCl
_chemical_formula_sum 'Tm2 Sc1 Cl1'
_space_group_name_H-M_alt 'P 1'
_space_group_IT_number 1
_space_group_name_Hall 'P 1'
_cell_length_a 11.0182
_cell_length_b 11.0182
_cell_length_c 11.0182
_cell_angle_alpha 17.35
_cell_angle_beta 17.35
_cell_angle_gamma 17.35
loop_
_atom_site_label
_atom_site_type_symbol
_atom_site_fract_x
_atom_site_fract_y
_atom_site_fract_z
Tm1 Tm 0.0981 0.0981 0.0981
Tm2 Tm 0.9019 0.9019 0.9019
Sc1 Sc 0.0000 0.0000 0.0000
Cl1 Cl 0.5000 0.5000 0.5000
# **Raw total energy**: -18.33 eV/cell
# **Fermi-level density of states**: 5.66 states/eV/f.u.


Results for spin magnetization: 7.02, 0.00, 0.86 (in Bohr magnetons per cell, following the order of the records).